# MnAlCoO, relaxed, DFT PBE+U
# **Fermi-level density of states**: 2.1 states/eV per cell
# **M_tot**: 13.0 μB/cell
# **V**: 115.39 Å³ per cell
# **ΔE to the lowest computed polymorph**: 367 meV/atom
data_MnAlCoO
_cell_length_a 3.094
_cell_length_b 4.413
_cell_length_c 8.450
_cell_angle_alpha 90.00
_cell_angle_beta 90.00
_cell_angle_gamma 90.00
_symmetry_space_group_name_H-M 'A m m 2'
_symmetry_Int_Tables_number 38
_symmetry_space_group_name_Hall 'A 2 -2'
loop_
_atom_site_label
_atom_site_fract_x
_atom_site_fract_y
_atom_site_fract_z
Mn1 0.000 0.000 0.000
Al1 0.500 0.000 0.620
Co1 0.500 0.000 0.287
O1 0.500 0.000 0.831